No. 1
10
Lattice="4.5047 0.0000 0.0000 -2.2524 8.7487 0.0000 0.0000 0.0000 8.9357" Properties=species:S:1:pos:R:3 comment="MgTlIBr2 GGA-PBE relaxed" magmom_total_mub_per_cell=0.00 e_form_raw_mev_per_atom=-1030 pbc="T T T"
Br 0.0000 2.5058 0.0017
Br 2.2524 6.2429 8.9340
Br 0.0000 2.5058 4.4661
Br 2.2524 6.2429 4.4695
I 2.2524 0.0236 2.2339
I 0.0000 8.7252 6.7017
Mg 0.0000 0.0000 4.4678
Mg 0.0000 0.0000 0.0000
Tl 2.2524 3.5450 6.7017
Tl 0.0000 5.2037 2.2339

No. 2
5
Lattice="-2.0669 6.2380 1.0083 -3.2705 -1.8133 4.5140 5.1156 1.0291 4.1198" Properties=species:S:1:pos:R:3 comment="MgTl2IBr GGA-PBE relaxed" magmom_total_mub_per_cell=0.00 e_form_raw_mev_per_atom=-2 pbc="T T T"
Br -0.1109 2.7269 4.8210
I 0.0000 0.0000 0.0000
Tl 2.5578 0.5146 2.0599
Tl -1.0334 3.1190 0.5041
Mg -1.6353 -0.9066 2.2570

No. 3
4
Lattice="2.1507 0.0000 12.2868 -1.0754 1.8626 12.2868 -1.0754 -1.8626 12.2868" Properties=species:S:1:pos:R:3 comment="MnIBr2 GGA-PBE relaxed" magmom_total_mub_per_cell=4.91 e_form_raw_mev_per_atom=-454 pbc="T T T"
I 0.0000 0.0000 0.0000
Mn 0.0000 0.0000 18.4302
Br 0.0000 0.0000 4.5682
Br 0.0000 0.0000 32.2923

No. 4
11
Lattice="-5.5486 -1.7164 -4.7523 -5.5252 1.9344 5.9287 -3.1291 7.6478 1.0677" Properties=species:S:1:pos:R:3 comment="Mn2IBr8 GGA-PBE relaxed" magmom_total_mub_per_cell=9.01 e_form_raw_mev_per_atom=-426 pbc="T T T"
Br -7.4397 2.9307 -0.2227
Br -10.1074 6.1679 2.2672
Br -4.6742 1.9043 3.2454
Br -9.5287 5.9614 -1.0013
Br -10.7725 2.9957 1.5221
Br -6.7631 4.9351 2.4668
Br -4.0954 1.6979 -0.0232
Br -3.4304 4.8701 0.7220
I 0.0000 0.0000 0.0000
Mn -8.8331 4.5908 1.0417
Mn -5.3697 3.2750 1.2024

No. 5
8
Lattice="6.9204 0.0000 0.0000 0.0000 6.8287 0.0277 -3.4602 -1.6879 6.3647" Properties=species:S:1:pos:R:3 comment="MnIBr2 GGA-PBE relaxed" magmom_total_mub_per_cell=8.99 e_form_raw_mev_per_atom=-527 pbc="T T T"
Br 0.0026 3.4081 1.7811
Br 3.4628 5.1470 4.6252
Br 3.4576 1.7327 4.6113
Br -0.0026 -0.0062 1.7673
I 3.3455 1.7072 0.0069
I 3.5749 5.1215 0.0208
Mn 0.5620 1.7072 0.0069
Mn 6.3584 5.1215 0.0208

No. 6
4
Lattice="5.0182 -1.5071 1.1584 1.5369 -5.0739 -0.8300 3.4375 -1.1490 -3.9572" Properties=species:S:1:pos:R:3 comment="MnIBr2 GGA-PBE relaxed" magmom_total_mub_per_cell=4.01 e_form_raw_mev_per_atom=343 pbc="T T T"
Br 2.4982 -1.9325 -0.9072
Br 7.4945 -5.7976 -2.7216
I 4.9963 -3.8650 -1.8144
Mn 0.0000 0.0000 0.0000